# 1
An optimized crystal structure of CaVRe. Source: Alexandria via LeMat-Bulk, functional PBE.

a b c (Å): 6.096 6.096 4.578
angles (deg): 90.00 90.00 135.74
Fractional coordinates of all 6 atoms:
Ca: 0.248 0.752 0.750
Ca: 0.752 0.248 0.250
V: 0.460 0.540 0.250
V: 0.540 0.460 0.750
Re: 0.048 0.952 0.250
Re: 0.952 0.048 0.750

## Properties
- DFT total energy: -44.989 eV/cell
- Relative energy among the computed polymorphs: 198 meV/atom
- Formation energy from the elements: 0.36 eV per atom



# 2
An optimized crystal structure of CaVRe. Source: Alexandria via LeMat-Bulk, functional PBE.

a b c (Å): 4.903 4.495 5.935
angles (deg): 90.00 100.38 90.00
Fractional coordinates of all 6 atoms:
Ca: 0.000 0.000 0.000
Ca: 0.490 0.500 0.833
V: 0.123 0.000 0.505
V: 0.897 0.500 0.431
Re: 0.344 0.500 0.326
Re: 0.594 0.000 0.404

## Properties
- DFT total energy: -45.031 eV/cell
- Relative energy among the computed polymorphs: 191 meV/atom
- Formation energy from the elements: 0.35 eV per atom



Question: DFT total energy of number 2 (CaVRe)?
Answer: -45.031 eV/cell